No. 1
A plane-wave DFT calculation with PBE-GGA was carried out for a geometry-optimized Ca2HfTa structure.

Structure (CIF):
```
data_Ca2HfTa
_chemical_formula_sum 'Ca4 Hf2 Ta2'
_space_group_name_H-M_alt 'P 1'
_space_group_IT_number 1
_cell_length_a 8.6510
_cell_length_b 8.6510
_cell_length_c 6.7806
_cell_angle_alpha 50.36
_cell_angle_beta 50.36
_cell_angle_gamma 90.00
loop_
_space_group_symop_operation_xyz
'x,y,z'
loop_
_atom_site_label
_atom_site_type_symbol
_atom_site_fract_x
_atom_site_fract_y
_atom_site_fract_z
Ca1 Ca 0.6391 0.1250 0.2500
Ca2 Ca 0.1109 0.6250 0.2500
Ca3 Ca 0.3750 0.3609 0.7500
Ca4 Ca 0.8750 0.8891 0.7500
Hf1 Hf 0.5000 0.5000 0.0000
Hf2 Hf 0.2500 0.7500 0.5000
Ta1 Ta 0.0000 0.0000 0.0000
Ta2 Ta 0.7500 0.2500 0.5000
```

Values from the calculation:
* relative energy among the computed polymorphs: 154 meV/atom
* M_tot: 2.251 μB/cell
* formation enthalpy at 0 K: 1.188 eV/atom

=====

No. 2
A plane-wave DFT calculation with PBE-GGA was carried out for a geometry-optimized Cs6ClO structure.

Structure (CIF):
```
data_Cs6ClO
_chemical_formula_sum 'Cs6 Cl1 O1'
_space_group_name_H-M_alt 'P 1'
_space_group_IT_number 1
_cell_length_a 8.3033
_cell_length_b 9.0325
_cell_length_c 9.0325
_cell_angle_alpha 124.43
_cell_angle_beta 98.35
_cell_angle_gamma 98.35
loop_
_space_group_symop_operation_xyz
'x,y,z'
loop_
_atom_site_label
_atom_site_type_symbol
_atom_site_fract_x
_atom_site_fract_y
_atom_site_fract_z
Cs1 Cs 0.7260 0.5786 0.8404
Cs2 Cs 0.7260 0.8404 0.5786
Cs3 Cs 0.2740 0.1596 0.4214
Cs4 Cs 0.2740 0.4214 0.1596
Cs5 Cs 0.7115 0.2710 0.2710
Cs6 Cs 0.2885 0.7290 0.7290
Cl1 Cl 0.0000 0.0000 0.0000
O1 O 0.5000 0.5000 0.5000
```

Values from the calculation:
* E_form (uncorrected): -0.84 eV/atom
* M_tot: 0.000 μB/cell

=====

No. 3
A plane-wave DFT calculation with PBE-GGA was carried out for a geometry-optimized SmScP2O8 structure.

Structure (CIF):
```
data_SmScP2O8
_chemical_formula_sum 'Sm1 Sc1 P2 O8'
_space_group_name_H-M_alt 'P 1'
_space_group_IT_number 1
_cell_length_a 5.1872
_cell_length_b 5.1872
_cell_length_c 6.7987
_cell_angle_alpha 90.00
_cell_angle_beta 90.00
_cell_angle_gamma 120.00
loop_
_space_group_symop_operation_xyz
'x,y,z'
loop_
_atom_site_label
_atom_site_type_symbol
_atom_site_fract_x
_atom_site_fract_y
_atom_site_fract_z
Sm1 Sm 0.0000 0.0000 0.0000
Sc1 Sc 0.0000 0.0000 0.5000
P1 P 0.6667 0.3333 0.2154
P2 P 0.3333 0.6667 0.7846
O1 O 0.3333 0.6667 0.0094
O2 O 0.3412 0.1711 0.2917
O3 O 0.8289 0.1701 0.2917
O4 O 0.6667 0.3333 0.9906
O5 O 0.1711 0.8299 0.7083
O6 O 0.6588 0.8289 0.7083
O7 O 0.1701 0.3412 0.7083
O8 O 0.8299 0.6588 0.2917
```

Values from the calculation:
* E_form (uncorrected): -2.87 eV/atom
* M_tot: 0.000 μB/cell

=====

No. 4
A plane-wave DFT calculation with PBE-GGA was carried out for a geometry-optimized Ac3LaCd3 structure.

Structure (CIF):
```
data_Ac3LaCd3
_chemical_formula_sum 'Ac6 La2 Cd6'
_space_group_name_H-M_alt 'P 1'
_space_group_IT_number 1
_cell_length_a 8.0113
_cell_length_b 8.0113
_cell_length_c 7.9141
_cell_angle_alpha 90.00
_cell_angle_beta 90.00
_cell_angle_gamma 88.63
loop_
_space_group_symop_operation_xyz
'x,y,z'
loop_
_atom_site_label
_atom_site_type_symbol
_atom_site_fract_x
_atom_site_fract_y
_atom_site_fract_z
Ac1 Ac 0.2520 0.2520 0.5006
Ac2 Ac 0.2480 0.7520 0.5000
Ac3 Ac 0.7520 0.2480 0.5000
Ac4 Ac 0.2703 0.7297 0.0000
Ac5 Ac 0.7297 0.2703 0.0000
Ac6 Ac 0.7480 0.7480 0.4994
La1 La 0.2438 0.2438 0.9995
La2 La 0.7562 0.7562 0.0005
Cd1 Cd 0.9997 0.9997 0.7644
Cd2 Cd 0.4996 0.0004 0.2424
Cd3 Cd 0.0004 0.4996 0.2424
Cd4 Cd 0.5004 0.9996 0.7576
Cd5 Cd 0.9996 0.5004 0.7576
Cd6 Cd 0.0003 0.0003 0.2356
```

Values from the calculation:
* M_tot: 0.046 μB/cell
* formation enthalpy at 0 K: -0.174 eV/atom

=====

No. 5
A plane-wave DFT calculation with PBE-GGA was carried out for a geometry-optimized Sm2GdBe structure.

Structure (CIF):
```
data_Sm2GdBe
_chemical_formula_sum 'Sm2 Gd1 Be1'
_space_group_name_H-M_alt 'P 1'
_space_group_IT_number 1
_cell_length_a 3.4687
_cell_length_b 3.4687
_cell_length_c 11.7547
_cell_angle_alpha 81.52
_cell_angle_beta 81.52
_cell_angle_gamma 60.00
loop_
_space_group_symop_operation_xyz
'x,y,z'
loop_
_atom_site_label
_atom_site_type_symbol
_atom_site_fract_x
_atom_site_fract_y
_atom_site_fract_z
Be1 Be 0.0000 0.0000 0.0000
Gd1 Gd 0.5000 0.5000 0.5000
Sm1 Sm 0.0839 0.0839 0.7482
Sm2 Sm 0.9161 0.9161 0.2518
```

Values from the calculation:
* relative energy among the computed polymorphs: 586 meV/atom
* M_tot: 7.135 μB/cell
* formation enthalpy at 0 K: 0.692 eV/atom

=====

No. 6
A plane-wave DFT calculation with PBE-GGA was carried out for a geometry-optimized Li2Cu2Pd structure.

Structure (CIF):
```
data_Li2Cu2Pd
_chemical_formula_sum 'Li2 Cu2 Pd1'
_space_group_name_H-M_alt 'P 1'
_space_group_IT_number 1
_cell_length_a 4.3289
_cell_length_b 4.2251
_cell_length_c 4.7803
_cell_angle_alpha 113.55
_cell_angle_beta 90.00
_cell_angle_gamma 120.82
loop_
_space_group_symop_operation_xyz
'x,y,z'
loop_
_atom_site_label
_atom_site_type_symbol
_atom_site_fract_x
_atom_site_fract_y
_atom_site_fract_z
Li1 Li 0.2035 0.4071 0.6128
Li2 Li 0.7965 0.5929 0.3872
Cu1 Cu 0.4027 0.8054 0.2017
Cu2 Cu 0.5973 0.1946 0.7983
Pd1 Pd 0.0000 0.0000 0.0000
```

Values from the calculation:
* relative energy among the computed polymorphs: 0 meV/atom
* M_tot: 0.000 μB/cell
* formation enthalpy at 0 K: -0.201 eV/atom

=====

No. 7
A plane-wave DFT calculation with PBE-GGA was carried out for a geometry-optimized Sr4Zn3Si structure.

Structure (CIF):
```
data_Sr4Zn3Si
_chemical_formula_sum 'Sr4 Zn3 Si1'
_space_group_name_H-M_alt 'P 1'
_space_group_IT_number 1
_cell_length_a 4.6742
_cell_length_b 4.4654
_cell_length_c 11.8524
_cell_angle_alpha 90.00
_cell_angle_beta 90.00
_cell_angle_gamma 90.00
loop_
_space_group_symop_operation_xyz
'x,y,z'
loop_
_atom_site_label
_atom_site_type_symbol
_atom_site_fract_x
_atom_site_fract_y
_atom_site_fract_z
Sr1 Sr 0.5000 0.5000 0.3471
Sr2 Sr 0.0000 0.5000 0.8659
Sr3 Sr 0.0000 0.0000 0.1392
Sr4 Sr 0.5000 0.0000 0.6429
Zn1 Zn 0.0000 0.5000 0.5519
Zn2 Zn 0.0000 0.0000 0.4391
Zn3 Zn 0.5000 0.0000 0.9487
Si1 Si 0.5000 0.5000 0.0651
```

Values from the calculation:
* E_form (uncorrected): -0.25 eV/atom
* M_tot: 0.000 μB/cell

=====

No. 8
A plane-wave DFT calculation with PBE-GGA was carried out for a geometry-optimized SbClF2 structure.

Structure (CIF):
```
data_SbClF2
_chemical_formula_sum 'Sb1 Cl1 F2'
_space_group_name_H-M_alt 'P 1'
_space_group_IT_number 1
_cell_length_a 4.3369
_cell_length_b 4.3369
_cell_length_c 4.3369
_cell_angle_alpha 60.00
_cell_angle_beta 60.00
_cell_angle_gamma 60.00
loop_
_space_group_symop_operation_xyz
'x,y,z'
loop_
_atom_site_label
_atom_site_type_symbol
_atom_site_fract_x
_atom_site_fract_y
_atom_site_fract_z
Sb1 Sb 0.5000 0.5000 0.5000
F1 F 0.2500 0.2500 0.2500
F2 F 0.7500 0.7500 0.7500
Cl1 Cl 0.0000 0.0000 0.0000
```

Values from the calculation:
* E_form (uncorrected): -1.19 eV/atom
* relative energy among the computed polymorphs: 652 meV/atom
* M_tot: 0.000 μB/cell